(1)
Below is a relaxed structure of MnNb3Zn, with properties calculated at the PBE level.

Lattice parameters (Å, degrees): 4.586 4.586 4.586 90.00 90.00 90.00
Space group Pm-3m (No. 221)
Inequivalent atoms, fractional coordinates:
Mn 0.000 0.000 0.000 x1
Nb 0.000 0.000 0.500 x3
Zn 0.500 0.500 0.500 x1

## Properties
DFT formation energy	0.70	eV/atom
relative energy among the computed polymorphs	0.000	eV/atom
E	-37.141	eV per cell

***

(2)
Below is a relaxed structure of MnCdN3, with properties calculated at the PBE level.

Lattice parameters (Å, degrees): 3.757 3.757 3.757 90.00 90.00 90.00
Space group Pm-3m (No. 221)
Inequivalent atoms, fractional coordinates:
Mn 0.000 0.000 0.000 x1
Cd 0.500 0.500 0.500 x1
N 0.000 0.000 0.500 x3

## Properties
raw formation energy	4.9	eV per formula unit
E	-30.191	eV per cell